Record 1
Here is an optimized crystal structure of Ba2LaRu from Alexandria. Energies are from GGA-PBEsol.

Its energy relative to the lowest polymorph listed for this composition is 540 meV/atom. The space group is Pmmm (47). The formation energy comes out at 675 meV per atom.

Cell and atoms, written as POSCAR:
```
Ba2LaRu
1.0
-2.909 -1.509 1.927
0.846 -4.349 -2.130
3.900 -1.535 4.685
La Ba Ru
1 2 1
Cartesian
-1.031 -2.929 -0.101
2.882 -1.134 3.462
1.018 -0.401 1.223
0.919 -3.697 2.241
```

Record 2
Here is an optimized crystal structure of InNi22B6 from Alexandria. Energies are from GGA-PBEsol.

Its energy relative to the lowest polymorph listed for this composition is 60 meV/atom. The space group is Fm-3m (225). The formation energy comes out at -211 meV per atom.

Cell and atoms, written as POSCAR:
```
InNi22B6
1.0
-2.591 5.907 -3.512
-6.969 2.097 0.988
-1.492 6.139 3.746
Ni B In
22 6 1
Cartesian
-1.870 6.059 1.252
-0.513 2.109 1.287
-4.924 8.305 2.242
-5.444 8.196 -1.199
-3.374 4.750 2.798
-0.890 2.030 -1.207
-5.608 5.947 2.421
-4.095 4.598 -1.966
-2.395 0.720 0.339
-2.213 5.987 -1.018
-5.087 3.485 1.935
-5.465 3.406 -0.559
-4.216 5.395 0.466
-6.129 5.837 -1.021
-0.980 4.029 2.459
-3.532 7.753 0.287
-4.575 1.376 0.648
-1.701 3.877 -2.305
-7.521 6.389 0.934
-8.289 10.607 0.916
-6.836 8.748 0.755
-2.763 3.536 0.305
-4.879 9.303 0.442
-3.717 6.653 2.017
-6.843 7.593 2.460
-4.209 6.549 -1.239
-7.336 7.490 -0.796
-6.174 4.839 0.780
0.000 0.000 0.000
```

Record 3
Here is an optimized crystal structure of ZrCu from Alexandria. Energies are from GGA-PBEsol.

The space group is Pm-3m (221). The formation energy comes out at -106 meV per atom.

Cell and atoms, written as POSCAR:
```
ZrCu
1.0
3.222 0.000 0.000
0.000 3.222 0.000
0.000 0.000 3.226
Zr Cu
1 1
Cartesian
0.000 0.000 0.000
1.611 1.611 1.613
```

Record 4
Here is an optimized crystal structure of Ir2Se from Alexandria. Energies are from GGA-PBEsol.

Its energy relative to the lowest polymorph listed for this composition is 150 meV/atom. The space group is I4/mcm (140). For the formation energy from raw total energies, the calculation gives 0.507 eV per atom.

Cell and atoms, written as POSCAR:
```
Ir2Se
1.0
5.098 0.000 0.000
-2.549 4.602 0.008
0.000 2.817 4.249
Ir Se
4 2
Cartesian
1.627 0.510 0.769
4.176 0.899 1.356
3.471 2.307 3.480
0.922 1.918 2.893
2.549 3.005 1.066
0.000 4.413 3.191
```

Record 5
Here is an optimized crystal structure of Cs2VP2O8 from Alexandria. Energies are from GGA-PBEsol.

The space group is Pnma (62). For the formation energy from raw total energies, the calculation gives -2.329 eV per atom.

Cell and atoms, written as POSCAR:
```
Cs2VP2O8
1.0
-6.284 3.321 -1.443
-4.509 -8.402 0.295
-2.131 1.598 12.956
O P Cs V
32 8 8 4
Cartesian
-4.800 -0.893 3.069
-3.515 -4.385 2.904
-6.886 2.820 2.330
-8.123 -2.590 8.738
-6.788 0.509 3.394
-1.975 -0.966 5.855
-7.986 -4.082 6.633
-10.949 -2.516 5.953
-7.401 2.153 9.842
-9.409 0.903 8.904
-2.845 0.039 10.028
-5.088 2.329 0.177
-3.437 -0.906 12.359
-5.523 -5.636 1.965
-4.938 0.600 5.174
-8.068 -0.441 6.780
-6.135 -3.992 8.414
-7.063 -0.337 9.443
-4.539 1.579 2.869
-8.384 -5.062 8.938
-7.836 -5.811 11.630
-2.502 -2.108 3.597
-4.855 -3.042 5.027
-7.781 -4.736 2.307
-5.861 -3.145 2.365
-5.143 1.254 9.500
-6.400 0.660 11.678
-10.422 -1.375 8.210
-6.524 -4.142 0.129
-10.079 -3.521 1.780
-9.486 -2.576 -0.551
-6.038 -6.302 9.477
-6.455 0.870 10.198
-7.747 1.803 3.119
-9.016 2.224 9.610
-3.908 -5.706 2.197
-5.187 0.449 3.707
-5.177 -5.285 8.689
-6.469 -4.353 1.609
-7.737 -3.932 8.100
-10.561 -3.364 10.902
-2.363 -0.118 0.905
-6.117 -2.635 11.455
-8.421 -2.162 4.354
-6.554 -6.234 5.075
-4.503 -1.320 7.453
-6.370 2.752 6.732
-6.807 -0.848 0.353
-9.583 -5.411 1.935
-3.341 1.928 9.872
-4.354 -2.745 3.530
-8.569 -0.738 8.277
```

Record 6
Here is an optimized crystal structure of ZrAg3 from Alexandria. Energies are from GGA-PBEsol.

The space group is R-3m (166). The formation energy comes out at 7 meV per atom.

Cell and atoms, written as POSCAR:
```
ZrAg3
1.0
2.928 0.000 0.000
1.464 2.536 0.000
1.464 0.845 9.594
Zr Ag
1 3
Cartesian
0.000 0.000 0.000
2.928 1.691 4.797
4.392 2.536 7.104
1.464 0.845 2.491
```

Record 7
Here is an optimized crystal structure of CoTcSb2 from Alexandria. Energies are from GGA-PBEsol.

Its energy relative to the lowest polymorph listed for this composition is 0 meV/atom. The space group is P4mm (99). For the formation energy from raw total energies, the calculation gives 0.184 eV per atom.

Cell and atoms, written as POSCAR:
```
CoTcSb2
1.0
3.502 0.000 0.000
0.000 3.502 0.000
0.000 0.000 5.536
Sb Co Tc
2 1 1
Cartesian
0.000 0.000 5.179
1.751 1.751 1.583
1.751 1.751 4.510
0.000 0.000 2.568
```

Record 8
Here is an optimized crystal structure of CrSb2TeI from Alexandria. Energies are from GGA-PBEsol.

Its energy relative to the lowest polymorph listed for this composition is 133 meV/atom. The space group is P4/mmm (123). For the formation energy from raw total energies, the calculation gives 0.406 eV per atom.

Cell and atoms, written as POSCAR:
```
CrSb2TeI
1.0
-4.186 -0.425 -2.734
1.296 -4.832 -1.232
-2.529 -1.734 4.140
Sb Cr I Te
2 1 1 1
Cartesian
0.648 -2.416 -0.616
-1.264 -0.867 2.070
0.000 0.000 0.000
-2.093 -0.213 -1.367
-2.709 -3.496 0.087
```

Record 9
Here is an optimized crystal structure of Li2CuRh from Alexandria. Energies are from GGA-PBEsol.

Its energy relative to the lowest polymorph listed for this composition is 63 meV/atom. The space group is Pmm2 (25). The formation energy comes out at -11 meV per atom.

Cell and atoms, written as POSCAR:
```
Li2CuRh
1.0
2.492 0.000 0.000
0.000 4.028 0.000
0.000 0.000 5.127
Li Cu Rh
2 1 1
Cartesian
0.000 0.000 5.106
1.246 2.014 1.339
1.246 2.014 3.751
0.000 0.000 2.620
```

Record 10
Here is an optimized crystal structure of In3SO from Alexandria. Energies are from GGA-PBEsol.

The space group is Pm-3m (221). For the formation energy from raw total energies, the calculation gives -0.191 eV per atom.

Cell and atoms, written as POSCAR:
```
In3SO
1.0
-1.661 -4.003 2.009
1.539 -2.522 -3.753
4.206 -0.658 2.167
S In O
1 3 1
Cartesian
2.042 -3.592 0.211
0.769 -1.261 -1.877
2.103 -0.329 1.083
-0.831 -2.001 1.004
0.000 0.000 0.000
```

Record 11
Here is an optimized crystal structure of LaHgMo2 from Alexandria. Energies are from GGA-PBEsol.

The space group is I-4m2 (119). The formation energy comes out at 571 meV per atom.

Cell and atoms, written as POSCAR:
```
LaHgMo2
1.0
-3.221 -3.165 -0.621
4.635 -1.149 -1.452
2.344 -2.900 2.622
Mo La Hg
2 1 1
Cartesian
0.000 0.000 0.000
2.098 -2.091 -0.226
1.659 -5.124 0.775
-0.439 -3.033 1.000
```

Record 12
Here is an optimized crystal structure of BRhBrCl2 from Alexandria. Energies are from GGA-PBEsol.

The space group is P4/mmm (123). For the formation energy from raw total energies, the calculation gives 0.771 eV per atom.

Cell and atoms, written as POSCAR:
```
BRhBrCl2
1.0
4.022 0.000 0.000
0.000 4.022 0.000
0.000 0.000 5.403
B Rh Br Cl
1 1 1 2
Cartesian
0.000 0.000 0.000
2.011 2.011 2.701
0.000 0.000 2.701
0.000 2.011 0.000
2.011 0.000 0.000
```

Record 13
Here is an optimized crystal structure of PPbSe2 from Alexandria. Energies are from GGA-PBEsol.

Its energy relative to the lowest polymorph listed for this composition is 0 meV/atom. The space group is R-3m (166). For the formation energy from raw total energies, the calculation gives -0.061 eV per atom.

Cell and atoms, written as POSCAR:
```
PPbSe2
1.0
-2.232 1.644 2.355
-3.548 -0.801 0.006
-0.633 -5.411 5.988
P Se Pb
1 2 1
Cartesian
0.000 0.000 0.000
-4.734 -3.758 6.565
-1.679 -0.810 1.783
-3.206 -2.284 4.174
```

Record 14
Here is an optimized crystal structure of FePRhCl2 from Alexandria. Energies are from GGA-PBEsol.

The space group is P4/mmm (123). For the formation energy from raw total energies, the calculation gives 0.672 eV per atom.

Cell and atoms, written as POSCAR:
```
FePRhCl2
1.0
4.378 0.000 0.000
0.000 4.396 0.000
0.000 0.000 4.396
Cl Rh P Fe
2 1 1 1
Cartesian
0.000 2.198 0.000
0.000 0.000 2.198
2.189 2.198 2.198
2.189 0.000 0.000
0.000 0.000 0.000
```

Record 15
Here is an optimized crystal structure of Al2GeSe from Alexandria. Energies are from GGA-PBEsol.

The space group is I-42d (122). For the formation energy from raw total energies, the calculation gives -0.312 eV per atom.

Cell and atoms, written as POSCAR:
```
Al2GeSe
1.0
-5.436 0.037 -1.753
-1.434 -3.380 4.376
2.413 6.335 1.957
Al Ge Se
4 2 2
Cartesian
-4.598 0.348 0.626
-2.783 -1.359 3.630
0.926 4.276 1.870
-2.460 2.719 3.032
-3.229 2.350 0.757
-3.435 -1.672 1.311
-1.228 0.642 3.822
0.000 0.000 0.000
```

Record 16
Here is an optimized crystal structure of La5Y from Alexandria. Energies are from GGA-PBEsol.

Its energy relative to the lowest polymorph listed for this composition is 1 meV/atom. The space group is Cmmm (65). The formation energy comes out at 14 meV per atom.

Cell and atoms, written as POSCAR:
```
La5Y
1.0
-2.363 -2.654 3.672
4.440 -2.224 1.251
3.633 4.503 5.593
La Y
5 1
Cartesian
1.038 -2.439 2.461
2.695 0.775 2.295
1.979 1.298 5.767
3.731 -1.672 4.749
5.378 1.504 4.548
0.000 0.000 0.000
```

Record 17
Here is an optimized crystal structure of LaMg2Tl from Alexandria. Energies are from GGA-PBEsol.

Its energy relative to the lowest polymorph listed for this composition is 14 meV/atom. The space group is P4/mmm (123). The formation energy comes out at -237 meV per atom.

Cell and atoms, written as POSCAR:
```
LaMg2Tl
1.0
4.655 0.000 0.000
0.000 4.655 0.000
0.000 0.000 4.927
Mg Tl La
2 1 1
Cartesian
2.328 0.000 0.000
0.000 2.328 0.000
2.328 2.328 2.464
0.000 0.000 2.464
```

Record 18
Here is an optimized crystal structure of La6Ti2S8O5 from Alexandria. Energies are from GGA-PBEsol.

The space group is P2_1/m (11). For the formation energy from raw total energies, the calculation gives -2.602 eV per atom.

Cell and atoms, written as POSCAR:
```
La6Ti2S8O5
1.0
-3.160 2.198 1.013
-6.634 -10.473 2.033
5.909 1.562 15.034
O S La Ti
10 16 12 4
Cartesian
-3.386 -2.600 6.805
-0.742 -5.653 13.858
-3.392 -6.049 14.269
-0.493 -0.664 3.811
-0.499 -4.113 11.275
-2.369 -3.641 4.419
-3.143 -1.059 4.223
1.119 -2.553 12.935
-5.004 -4.160 5.146
-1.516 -3.072 13.662
-1.810 -1.613 9.580
-2.433 -6.902 11.296
-6.992 -6.241 3.463
3.452 1.389 11.658
-4.353 -7.159 5.866
-1.452 0.189 6.785
1.680 0.211 8.687
-4.870 -2.774 2.556
-7.337 -8.101 6.422
0.985 -3.939 15.525
-5.565 -6.924 9.394
-2.545 0.849 1.948
-2.075 -5.100 8.500
0.468 0.447 12.215
-1.340 -7.562 16.133
3.107 -0.472 14.618
-5.178 -9.328 7.998
-1.000 -2.867 7.008
0.913 -1.795 10.649
1.293 2.615 10.083
-2.885 -3.846 11.072
0.176 -1.118 14.700
2.395 2.321 14.158
-4.061 -5.595 3.381
-6.280 -9.034 3.923
-1.970 -2.107 2.336
-4.798 -4.918 7.432
-1.916 -4.606 15.744
0.082 -4.087 13.029
-2.007 0.418 4.560
-1.878 -7.131 13.520
-3.967 -2.626 5.052
```

Record 19
Here is an optimized crystal structure of CaAlBr4 from Alexandria. Energies are from GGA-PBEsol.

The space group is F-43m (216). For the formation energy from raw total energies, the calculation gives -0.108 eV per atom.

Cell and atoms, written as POSCAR:
```
CaAlBr4
1.0
-2.642 -4.801 -3.091
-3.104 -4.457 3.174
-6.264 -0.392 -0.441
Br Al Ca
4 1 1
Cartesian
-5.825 -6.015 -1.675
-4.509 -3.623 -0.134
-6.056 -5.844 1.447
-7.630 -3.818 -0.354
0.000 0.000 0.000
-9.007 -7.237 -0.269
```

Record 20
Here is an optimized crystal structure of YZrBr2 from Alexandria. Energies are from GGA-PBEsol.

Its energy relative to the lowest polymorph listed for this composition is 85 meV/atom. The space group is C2/m (12). For the formation energy from raw total energies, the calculation gives -0.654 eV per atom.

Cell and atoms, written as POSCAR:
```
YZrBr2
1.0
-2.013 0.709 -2.722
3.942 -3.719 -1.872
-3.374 -2.616 3.828
Br Zr Y
2 1 1
Cartesian
-1.687 -1.308 1.914
1.971 -1.860 -0.936
0.000 0.000 0.000
0.284 -3.167 0.978
```

Record 21
Here is an optimized crystal structure of LaZrRh3 from Alexandria. Energies are from GGA-PBEsol.

The space group is Pm-3m (221). The formation energy comes out at 906 meV per atom.

Cell and atoms, written as POSCAR:
```
LaZrRh3
1.0
4.774 0.000 0.000
0.000 4.774 0.000
0.000 0.000 4.774
La Rh Zr
1 3 1
Cartesian
0.000 0.000 0.000
0.000 0.000 2.387
2.387 0.000 0.000
0.000 2.387 0.000
2.387 2.387 2.387
```

| no. | calculated volume (Å³/f.u.) |
| --- | --- |
| 1 | 117.47 |
| 2 | 280.14 |
| 3 | 33.49 |
| 4 | 49.78 |
| 5 | 228.79 |
| 6 | 71.24 |
| 7 | 67.90 |
| 8 | 133.19 |
| 9 | 51.46 |
| 10 | 108.98 |
| 11 | 79.18 |
| 12 | 87.41 |
| 13 | 89.57 |
| 14 | 84.59 |
| 15 | 94.38 |
| 16 | 199.64 |
| 17 | 106.77 |
| 18 | 402.68 |
| 19 | 176.08 |
| 20 | 94.52 |
| 21 | 108.83 |